No. 1
VASP calculation (PBE) on a relaxed SrCaCe2Te4 crystal.

a b c (Å): 4.524 8.035 7.837
angles (deg): 71.03 90.00 90.00
Each line ends with the local moment (μB).
Sites, in units of the cell vectors:
Sr: 0.500 0.500 0.000  0.00
Ca: 0.000 0.500 0.500  0.01
Ce: 0.500 0.000 0.500  1.11
Ce: 0.000 0.000 0.000  1.16
Te: 0.500 0.749 0.256  -0.01
Te: 0.000 0.753 0.743  -0.01
Te: 0.000 0.247 0.257  -0.01
Te: 0.500 0.251 0.744  -0.01

Calculated values
Its space group is No. 10. Its formation energy without anion corrections is -11.81 eV per formula unit.

No. 2
VASP calculation (PBE) on a relaxed Tb2SmIr crystal.

a b c (Å): 4.646 4.646 6.870
angles (deg): 70.24 70.24 60.00
Sites, in units of the cell vectors:
Tb: 0.053 0.053 0.841
Tb: 0.281 0.281 0.157
Sm: 0.501 0.501 0.496
Ir: 0.665 0.665 0.005

Calculated values
For the formation energy, the calculation gives -0.326 eV/atom. Its space group is No. 160.

No. 3
VASP calculation (PBE) on a relaxed TaGaNi crystal.

a b c (Å): 5.898 5.608 5.608
angles (deg): 89.21 76.02 76.02
Sites, in units of the cell vectors:
Ta: 0.686 0.828 0.578
Ta: 0.686 0.328 0.078
Ta: 0.314 0.172 0.422
Ta: 0.314 0.672 0.922
Ga: 0.295 0.676 0.426
Ga: 0.295 0.176 0.926
Ga: 0.705 0.324 0.574
Ga: 0.705 0.824 0.074
Ni: 0.014 0.997 0.247
Ni: 0.986 0.503 0.253
Ni: 0.014 0.497 0.747
Ni: 0.986 0.003 0.753

Calculated values
For the formation energy, the calculation gives -0.281 eV/atom. Its space group is No. 11.

No. 4
VASP calculation (PBE) on a relaxed Ta2NbNiIr crystal.

a b c (Å): 4.536 4.507 4.536
angles (deg): 90.00 90.00 90.00
Sites, in units of the cell vectors:
Ta: 0.500 0.000 0.000
Ta: 0.000 0.000 0.500
Ni: 0.000 0.000 0.000
Nb: 0.000 0.500 0.000
Ir: 0.500 0.500 0.500

Calculated values
For the formation energy, the calculation gives 0.831 eV/atom. Its space group is No. 123.

No. 5
VASP calculation (PBE) on a relaxed TePt2Pb crystal.

a b c (Å): 3.526 3.461 7.715
angles (deg): 64.03 90.00 90.00
Sites, in units of the cell vectors:
Pb: 0.500 0.750 0.750
Pt: 0.000 0.537 0.466
Pt: 0.000 0.963 0.034
Te: 0.500 0.250 0.250

Calculated values
Its space group is No. 10. Its formation energy without anion corrections is 0.18 eV per formula unit.

No. 6
VASP calculation (PBE) on a relaxed CuGeW crystal.

a b c (Å): 4.011 4.011 7.206
angles (deg): 73.84 73.84 60.00
Sites, in units of the cell vectors:
W: 0.296 0.296 0.113
W: 0.704 0.704 0.887
Cu: 0.139 0.139 0.582
Cu: 0.861 0.861 0.418
Ge: 0.425 0.425 0.724
Ge: 0.575 0.575 0.276

Calculated values
For the formation energy, the calculation gives 0.398 eV/atom. Its space group is No. 166.

No. 7
VASP calculation (PBE) on a relaxed CeTmOs crystal.

a b c (Å): 3.345 3.345 7.061
angles (deg): 103.70 103.70 90.00
Each line ends with the local moment (μB).
Sites, in units of the cell vectors:
Tm: 0.294 0.294 0.589  0.07
Ce: 0.038 0.038 0.075  0.56
Os: 0.668 0.668 0.336  -0.04

Calculated values
For the formation energy, the calculation gives -0.190 eV/atom. Its space group is No. 107.

No. 8
VASP calculation (PBE) on a relaxed TiVCo crystal.

a b c (Å): 3.002 4.086 6.644
angles (deg): 90.00 103.06 90.00
Sites, in units of the cell vectors:
V: 0.245 0.750 0.490
V: 0.755 0.250 0.510
Co: 0.413 0.250 0.827
Co: 0.587 0.750 0.173
Ti: 0.081 0.250 0.162
Ti: 0.919 0.750 0.838

Calculated values
For the formation energy, the calculation gives -0.238 eV/atom. Its space group is No. 63.

No. 9
VASP calculation (PBE) on a relaxed BeFe2I crystal.

a b c (Å): 3.866 3.866 8.751
angles (deg): 77.24 77.24 90.00
Each line ends with the local moment (μB).
Sites, in units of the cell vectors:
I: 0.750 0.250 0.500  0.02
I: 0.000 0.000 0.000  0.02
Fe: 0.555 0.125 0.250  2.25
Fe: 0.195 0.625 0.250  2.24
Fe: 0.375 0.445 0.750  2.29
Fe: 0.875 0.805 0.750  2.29
Be: 0.500 0.500 0.000  -0.08
Be: 0.250 0.750 0.500  -0.09

Calculated values
Its space group is No. 122. Its formation energy without anion corrections is 3.19 eV per formula unit.

No. 10
VASP calculation (PBE) on a relaxed TePt2W crystal.

a b c (Å): 9.276 9.276 9.276
angles (deg): 18.66 18.66 18.66
Sites, in units of the cell vectors:
Pt: 0.253 0.253 0.253
Pt: 0.004 0.004 0.004
Te: 0.499 0.499 0.499
W: 0.745 0.745 0.745

Calculated values
Its space group is No. 160. Its formation energy without anion corrections is 1.38 eV per formula unit.

No. 11
VASP calculation (PBE) on a relaxed DySc crystal.

a b c (Å): 4.675 4.874 4.876
angles (deg): 90.00 90.00 90.00
Sites, in units of the cell vectors:
Sc: 0.000 0.000 0.917
Sc: 0.000 0.500 0.417
Dy: 0.500 0.500 0.917
Dy: 0.500 0.000 0.417

Calculated values
For the formation energy, the calculation gives 0.051 eV/atom. Its space group is No. 123.

No. 12
VASP calculation (PBE) on a relaxed Ho2ThInC crystal.

a b c (Å): 5.053 4.931 4.931
angles (deg): 90.00 90.00 90.00
Sites, in units of the cell vectors:
Th: 0.500 0.000 0.000
C: 0.000 0.000 0.000
Ho: 0.000 0.000 0.500
Ho: 0.000 0.500 0.000
In: 0.500 0.500 0.500

Calculated values
For the formation energy, the calculation gives -0.435 eV/atom. Its space group is No. 123.

No. 13
VASP calculation (PBE) on a relaxed CsIr3Os crystal.

a b c (Å): 4.890 4.890 4.890
angles (deg): 90.00 90.00 90.00
Sites, in units of the cell vectors:
Ir: 0.000 0.500 0.000
Ir: 0.000 0.000 0.500
Ir: 0.500 0.000 0.000
Os: 0.000 0.000 0.000
Cs: 0.500 0.500 0.500

Calculated values
For the formation energy, the calculation gives 1.521 eV/atom. Its space group is No. 221.

No. 14
VASP calculation (PBE) on a relaxed SrCr2Se crystal.

a b c (Å): 4.816 4.816 5.484
angles (deg): 80.09 80.09 40.23
Sites, in units of the cell vectors:
Cr: 0.481 0.481 0.631
Cr: 0.019 0.019 0.869
Sr: 0.250 0.250 0.250
Se: 0.750 0.750 0.750

Calculated values
Its space group is No. 12. Its formation energy without anion corrections is 1.25 eV per formula unit.

No. 15
VASP calculation (PBE) on a relaxed Ti4TcPb crystal.

a b c (Å): 4.480 4.486 7.606
angles (deg): 72.84 72.87 60.04
Sites, in units of the cell vectors:
Ti: 0.890 0.891 0.330
Ti: 0.636 0.636 0.092
Ti: 0.110 0.109 0.670
Ti: 0.364 0.364 0.908
Tc: 0.000 0.000 0.000
Pb: 0.500 0.500 0.500

Calculated values
For the formation energy, the calculation gives 0.186 eV/atom. Its space group is No. 12.

No. 16
VASP calculation (PBE) on a relaxed Ni5IrPt2 crystal.

a b c (Å): 7.741 9.597 7.674
angles (deg): 64.71 59.71 66.21
Each line ends with the local moment (μB).
Sites, in units of the cell vectors:
Ni: 0.988 0.882 0.970  0.81
Ni: 0.159 0.382 0.471  0.81
Ni: 0.533 0.618 0.177  0.71
Ni: 0.316 0.872 0.654  0.64
Ni: 0.843 0.628 0.846  0.64
Ni: 0.012 0.118 0.030  0.81
Ni: 0.649 0.871 0.663  0.68
Ni: 0.347 0.123 0.013  0.66
Ni: 0.183 0.629 0.837  0.68
Ni: 0.672 0.118 0.677  0.71
Ni: 0.653 0.877 0.987  0.66
Ni: 0.517 0.623 0.513  0.66
Ni: 0.467 0.382 0.823  0.71
Ni: 0.817 0.371 0.163  0.68
Ni: 0.351 0.129 0.337  0.68
Ni: 0.841 0.618 0.529  0.81
Ni: 0.483 0.377 0.487  0.66
Ni: 0.684 0.128 0.346  0.64
Ni: 0.328 0.882 0.323  0.71
Ni: 0.157 0.372 0.154  0.64
Pt: 0.177 0.644 0.472  0.33
Pt: 0.666 0.880 0.319  0.35
Pt: 0.707 0.144 0.972  0.33
Pt: 0.823 0.356 0.528  0.33
Pt: 0.334 0.120 0.681  0.35
Pt: 0.293 0.856 0.028  0.33
Pt: 0.865 0.620 0.181  0.35
Pt: 0.135 0.380 0.819  0.35
Ir: 0.489 0.379 0.152  0.62
Ir: 0.980 0.879 0.652  0.62
Ir: 0.020 0.121 0.348  0.62
Ir: 0.511 0.621 0.848  0.62

Calculated values
For the formation energy, the calculation gives 0.128 eV/atom. Its space group is No. 15.

No. 17
VASP calculation (PBE) on a relaxed CeAlZn2Ag crystal.

a b c (Å): 4.255 4.255 6.269
angles (deg): 109.84 109.84 90.00
Each line ends with the local moment (μB).
Sites, in units of the cell vectors:
Zn: 0.611 0.611 0.222  0.00
Zn: 0.389 0.389 0.778  0.00
Al: 0.750 0.250 0.500  -0.01
Ag: 0.250 0.750 0.500  0.00
Ce: 0.000 0.000 0.000  0.69

Calculated values
For the formation energy, the calculation gives -0.244 eV/atom. Its space group is No. 119.

No. 18
VASP calculation (PBE) on a relaxed Mg2Pd9Rh crystal.

a b c (Å): 3.939 3.939 11.918
angles (deg): 90.00 90.00 90.00
Each line ends with the local moment (μB).
Sites, in units of the cell vectors:
Pd: 0.000 0.500 0.500  0.03
Pd: 0.500 0.000 0.500  0.03
Pd: 0.000 0.500 0.836  0.16
Pd: 0.500 0.000 0.164  0.16
Pd: 0.500 0.000 0.836  0.16
Pd: 0.500 0.500 0.668  0.04
Pd: 0.500 0.500 0.000  0.15
Pd: 0.000 0.500 0.164  0.16
Pd: 0.500 0.500 0.332  0.04
Mg: 0.000 0.000 0.334  0.00
Mg: 0.000 0.000 0.666  0.00
Rh: 0.000 0.000 0.000  0.73

Calculated values
For the formation energy, the calculation gives -0.297 eV/atom. Its space group is No. 123.

No. 19
VASP calculation (PBE) on a relaxed Np4TePd15 crystal.

a b c (Å): 4.137 4.137 20.643
angles (deg): 90.00 90.00 90.00
Each line ends with the local moment (μB).
Sites, in units of the cell vectors:
Pd: 0.500 0.500 0.399  -0.04
Pd: 0.000 0.500 0.101  -0.05
Pd: 0.500 0.000 0.101  -0.05
Pd: 0.500 0.000 0.899  -0.05
Pd: 0.500 0.000 0.299  -0.05
Pd: 0.500 0.500 0.601  -0.04
Pd: 0.500 0.500 0.000  0.01
Pd: 0.000 0.500 0.701  -0.05
Pd: 0.000 0.500 0.299  -0.05
Pd: 0.500 0.500 0.200  -0.06
Pd: 0.000 0.500 0.899  -0.05
Pd: 0.500 0.000 0.500  -0.04
Pd: 0.500 0.500 0.800  -0.06
Pd: 0.000 0.500 0.500  -0.04
Pd: 0.500 0.000 0.701  -0.05
Np: 0.000 0.000 0.803  3.31
Np: 0.000 0.000 0.399  3.45
Np: 0.000 0.000 0.601  3.45
Np: 0.000 0.000 0.197  3.31
Te: 0.000 0.000 0.000  -0.02

Calculated values
Its space group is No. 123. Its formation energy without anion corrections is -7.78 eV per formula unit.

No. 20
VASP calculation (PBE) on a relaxed Hf2InH2 crystal.

a b c (Å): 3.131 4.786 5.464
angles (deg): 115.18 90.00 90.00
Sites, in units of the cell vectors:
In: 0.200 0.931 0.973
H: 0.200 0.268 0.491
H: 0.700 0.886 0.444
Hf: 0.700 0.311 0.733
Hf: 0.200 0.604 0.359

Calculated values
Its space group is No. 6. Its total energy is -6.053 eV per atom.